(1)
Here is a geometry-optimized NdHO structure from Alexandria via LeMat-Bulk. Energies are from GGA-PBEsol.

Output
DFT total energy, eV/cell: -161.652

Lattice parameters (Å, degrees): 7.8244 7.8244 5.5207 90.00 90.00 90.00
With the nearest neighbours (Å) after each atom.
Fractional positions:
Nd 0.0000 0.0000 0.0000  4 O 2.38, 4 H 2.41
Nd 0.0000 0.5000 0.0000  4 O 2.38, 4 H 2.41
Nd 0.2500 0.2500 0.4463  4 O 2.35, 4 H 2.44
Nd 0.2500 0.7500 0.5000  4 O 2.32, 4 H 2.52
Nd 0.5000 0.0000 0.0000  4 O 2.38, 4 H 2.41
Nd 0.5000 0.5000 0.0000  4 O 2.38, 4 H 2.41
Nd 0.7500 0.2500 0.5000  4 O 2.32, 4 H 2.52
Nd 0.7500 0.7500 0.5537  4 O 2.35, 4 H 2.44
H 0.0206 0.2500 0.7468  4 Nd 2.41-2.52, 2 H 2.54
H 0.2500 0.0206 0.7468  4 Nd 2.41-2.52, 2 H 2.54
H 0.2500 0.4794 0.7468  4 Nd 2.41-2.52, 2 H 2.54
H 0.4794 0.2500 0.7468  4 Nd 2.41-2.52, 2 H 2.54
H 0.5206 0.7500 0.2532  4 Nd 2.41-2.52, 2 H 2.54
H 0.7500 0.5206 0.2532  4 Nd 2.41-2.52, 2 H 2.54
H 0.7500 0.9794 0.2532  4 Nd 2.41-2.52, 2 H 2.54
H 0.9794 0.7500 0.2532  4 Nd 2.41-2.52, 2 H 2.54
O 0.0147 0.7500 0.7563  4 Nd 2.32-2.38
O 0.2500 0.5147 0.2437  4 Nd 2.32-2.38
O 0.2500 0.9853 0.2437  4 Nd 2.32-2.38
O 0.4853 0.7500 0.7563  4 Nd 2.32-2.38
O 0.5147 0.2500 0.2437  4 Nd 2.32-2.38
O 0.7500 0.0147 0.7563  4 Nd 2.32-2.38
O 0.7500 0.4853 0.7563  4 Nd 2.32-2.38
O 0.9853 0.2500 0.2437  4 Nd 2.32-2.38



(2)
Here is a geometry-optimized NdP3H6O12 structure from Alexandria via LeMat-Bulk. Energies are from GGA-PBEsol.

Output
DFT total energy, eV/cell: -147.323

Lattice parameters (Å, degrees): 6.5829 6.5829 6.1092 90.00 90.00 120.00
With the nearest neighbours (Å) after each atom.
Fractional positions:
Nd 0.0000 0.0000 0.0000  9 O 2.47-2.52
P 0.3826 0.1021 0.5000  4 O 1.49-1.61
P 0.7195 0.6174 0.5000  4 O 1.49-1.61
P 0.8979 0.2805 0.5000  4 O 1.49-1.61
H 0.0342 0.5426 0.1266  1 O 0.98
H 0.0342 0.5426 0.8734  1 O 0.98
H 0.4574 0.4916 0.1266  1 O 0.98
H 0.4574 0.4916 0.8734  1 O 0.98
H 0.5084 0.9658 0.1266  1 O 0.98
H 0.5084 0.9658 0.8734  1 O 0.98
O 0.0021 0.2649 0.2877  1 P 1.49
O 0.0021 0.2649 0.7123  1 P 1.49
O 0.0247 0.6300 0.0000  2 H 0.98
O 0.2629 0.9979 0.2877  1 P 1.49
O 0.2629 0.9979 0.7123  1 P 1.49
O 0.3700 0.3947 0.0000  2 H 0.98
O 0.4714 0.3775 0.5000  2 P 1.60-1.61
O 0.6053 0.9753 0.0000  2 H 0.98
O 0.6225 0.0939 0.5000  2 P 1.60-1.61
O 0.7351 0.7371 0.2877  1 P 1.49
O 0.7351 0.7371 0.7123  1 P 1.49
O 0.9061 0.5286 0.5000  2 P 1.60-1.61



(3)
Here is a geometry-optimized Nd2P3H5O10 structure from Alexandria via LeMat-Bulk. Energies are from GGA-PBEsol.

Output
DFT total energy, eV/cell: -554.809

Lattice parameters (Å, degrees): 9.4736 7.9676 13.4512 90.00 113.41 90.00
With the nearest neighbours (Å) after each atom.
Fractional positions:
Nd 0.0907 0.2118 0.4620  8 O 2.37-2.64
Nd 0.0907 0.2882 0.9620  8 O 2.37-2.64
Nd 0.3143 0.0814 0.2662  8 O 2.32-2.59
Nd 0.3143 0.4186 0.7662  8 O 2.32-2.59
Nd 0.6857 0.5814 0.2338  8 O 2.32-2.59
Nd 0.6857 0.9186 0.7338  8 O 2.32-2.59
Nd 0.9093 0.7118 0.0380  8 O 2.37-2.64
Nd 0.9093 0.7882 0.5380  8 O 2.37-2.64
P 0.0478 0.6167 0.3300  1 H 1.41, 3 O 1.53-1.55
P 0.0478 0.8833 0.8300  1 H 1.41, 3 O 1.53-1.55
P 0.2688 0.6945 0.1015  1 H 1.41, 3 O 1.52-1.55
P 0.2688 0.8055 0.6015  1 H 1.41, 3 O 1.52-1.55
P 0.4469 0.2498 0.0538  1 H 1.41, 3 O 1.51-1.55
P 0.4469 0.2502 0.5538  1 H 1.41, 3 O 1.51-1.55
P 0.5531 0.7498 0.4462  1 H 1.41, 3 O 1.51-1.55
P 0.5531 0.7502 0.9462  1 H 1.41, 3 O 1.51-1.55
P 0.7312 0.1945 0.3985  1 H 1.41, 3 O 1.52-1.55
P 0.7312 0.3055 0.8985  1 H 1.41, 3 O 1.52-1.55
P 0.9522 0.1167 0.1700  1 H 1.41, 3 O 1.53-1.55
P 0.9522 0.3833 0.6700  1 H 1.41, 3 O 1.53-1.55
H 0.1509 0.7480 0.3356  1 P 1.41
H 0.1509 0.7520 0.8356  1 P 1.41
H 0.2750 0.0757 0.8312  1 O 1.00
H 0.2750 0.4243 0.3312  1 O 1.00
H 0.3110 0.7279 0.5228  1 P 1.41
H 0.3110 0.7721 0.0228  1 P 1.41
H 0.3634 0.0316 0.7514  1 O 1.00
H 0.3634 0.4684 0.2514  1 O 1.00
H 0.4989 0.6066 0.4818  1 P 1.41
H 0.4989 0.8934 0.9818  1 P 1.41
H 0.5011 0.1066 0.0182  1 P 1.41
H 0.5011 0.3934 0.5182  1 P 1.41
H 0.6366 0.5316 0.7486  1 O 1.00
H 0.6366 0.9684 0.2486  1 O 1.00
H 0.6890 0.2279 0.9772  1 P 1.41
H 0.6890 0.2721 0.4772  1 P 1.41
H 0.7250 0.5757 0.6688  1 O 1.00
H 0.7250 0.9243 0.1688  1 O 1.00
H 0.8491 0.2480 0.1644  1 P 1.41
H 0.8491 0.2520 0.6644  1 P 1.41
O 0.0568 0.1684 0.1123  1 P 1.54
O 0.0568 0.3316 0.6123  1 P 1.54
O 0.0606 0.0893 0.2902  1 P 1.55
O 0.0606 0.4107 0.7902  1 P 1.55
O 0.1423 0.5627 0.0434  1 P 1.55
O 0.1423 0.9373 0.5434  1 P 1.55
O 0.1444 0.0386 0.8813  1 P 1.53, 1 H 1.65
O 0.1444 0.4614 0.3813  1 P 1.53, 1 H 1.65
O 0.1899 0.6712 0.6448  1 P 1.55
O 0.1899 0.8288 0.1448  1 P 1.55
O 0.3355 0.1886 0.1051  1 P 1.55
O 0.3355 0.3114 0.6051  1 P 1.55
O 0.3421 0.1520 0.4517  1 P 1.55
O 0.3421 0.3480 0.9517  1 P 1.55
O 0.3447 0.1208 0.7976  2 H 1.00
O 0.3447 0.3792 0.2976  2 H 1.00
O 0.4135 0.6138 0.1846  1 P 1.52, 1 H 1.65
O 0.4132 0.6570 0.8697  1 P 1.51
O 0.4132 0.8430 0.3697  1 P 1.51
O 0.4135 0.8862 0.6846  1 P 1.52, 1 H 1.65
O 0.5865 0.1138 0.3154  1 P 1.52, 1 H 1.65
O 0.5868 0.1570 0.6303  1 P 1.51
O 0.5868 0.3430 0.1303  1 P 1.51
O 0.5865 0.3862 0.8154  1 P 1.52, 1 H 1.65
O 0.6553 0.6208 0.7024  2 H 1.00
O 0.6553 0.8792 0.2024  2 H 1.00
O 0.6579 0.6520 0.0483  1 P 1.55
O 0.6579 0.8480 0.5483  1 P 1.55
O 0.6645 0.6886 0.3949  1 P 1.55
O 0.6645 0.8114 0.8949  1 P 1.55
O 0.8101 0.1712 0.8552  1 P 1.55
O 0.8101 0.3288 0.3552  1 P 1.55
O 0.8556 0.5386 0.6187  1 P 1.53, 1 H 1.65
O 0.8556 0.9614 0.1187  1 P 1.53, 1 H 1.65
O 0.8577 0.0627 0.4566  1 P 1.55
O 0.8577 0.4373 0.9566  1 P 1.55
O 0.9394 0.5893 0.2098  1 P 1.55
O 0.9394 0.9107 0.7098  1 P 1.55
O 0.9432 0.6684 0.3877  1 P 1.54
O 0.9432 0.8316 0.8877  1 P 1.54



(4)
Here is a geometry-optimized NdH11S3O16 structure from Alexandria via LeMat-Bulk. Energies are from GGA-PBEsol.

Output
DFT total energy, eV/cell: -734.425

Lattice parameters (Å, degrees): 11.7105 7.0514 18.7091 90.00 122.93 90.00
With the nearest neighbours (Å) after each atom.
Fractional positions:
Nd 0.1058 0.0489 0.1807  9 O 2.40-2.56
Nd 0.1058 0.4511 0.6807  9 O 2.40-2.56
Nd 0.8942 0.5489 0.3193  9 O 2.40-2.56
Nd 0.8942 0.9511 0.8193  9 O 2.40-2.56
H 0.1554 0.0664 0.5529  1 O 1.01
H 0.1554 0.4336 0.0529  1 O 1.01
H 0.1687 0.6706 0.0669  1 O 1.00
H 0.1687 0.8294 0.5669  1 O 1.00
H 0.2189 0.5810 0.0016  2 O 1.15-1.26
H 0.2189 0.9190 0.5016  2 O 1.15-1.26
H 0.2411 0.0271 0.8724  1 O 1.03
H 0.2411 0.4729 0.3724  1 O 1.03
H 0.2468 0.5501 0.9132  1 O 0.99
H 0.2468 0.9499 0.4132  1 O 0.99
H 0.3308 0.0643 0.9782  1 O 1.03
H 0.3308 0.4357 0.4782  1 O 1.03
H 0.3759 0.1843 0.9184  1 O 1.04
H 0.3759 0.3157 0.4184  1 O 1.04
H 0.3855 0.6101 0.0053  1 O 1.00
H 0.3855 0.8899 0.5053  1 O 1.00
H 0.3996 0.7372 0.2973  1 O 1.04
H 0.3996 0.7628 0.7973  1 O 1.04
H 0.4564 0.5980 0.2455  1 O 1.04
H 0.4564 0.9020 0.7455  1 O 1.04
H 0.4585 0.1017 0.1462  1 O 1.02
H 0.4585 0.3983 0.6462  1 O 1.02
H 0.5415 0.6017 0.3538  1 O 1.02
H 0.5415 0.8983 0.8538  1 O 1.02
H 0.5436 0.0980 0.2545  1 O 1.04
H 0.5436 0.4020 0.7545  1 O 1.04
H 0.6004 0.2372 0.2027  1 O 1.04
H 0.6004 0.2628 0.7027  1 O 1.04
H 0.6145 0.1101 0.4947  1 O 1.00
H 0.6145 0.3899 0.9947  1 O 1.00
H 0.6241 0.6843 0.5816  1 O 1.04
H 0.6241 0.8157 0.0816  1 O 1.04
H 0.6692 0.5643 0.5218  1 O 1.03
H 0.6692 0.9357 0.0218  1 O 1.03
H 0.7532 0.0501 0.5868  1 O 0.99
H 0.7532 0.4499 0.0868  1 O 0.99
H 0.7589 0.5271 0.6276  1 O 1.03
H 0.7589 0.9729 0.1276  1 O 1.03
H 0.7811 0.0810 0.4984  2 O 1.15-1.26
H 0.7811 0.4190 0.9984  2 O 1.15-1.26
H 0.8313 0.1706 0.4331  1 O 1.00
H 0.8313 0.3294 0.9331  1 O 1.00
H 0.8446 0.5664 0.9471  1 O 1.01
H 0.8446 0.9336 0.4471  1 O 1.01
S 0.0238 0.5470 0.2098  4 O 1.47-1.51
S 0.0238 0.9530 0.7098  4 O 1.47-1.51
S 0.1923 0.0473 0.0481  4 O 1.46-1.50
S 0.1923 0.4527 0.5481  4 O 1.46-1.50
S 0.4105 0.0898 0.3288  4 O 1.47-1.52
S 0.4105 0.4102 0.8288  4 O 1.47-1.52
S 0.5895 0.5898 0.1712  4 O 1.47-1.52
S 0.5895 0.9102 0.6712  4 O 1.47-1.52
S 0.8077 0.5473 0.4519  4 O 1.46-1.50
S 0.8077 0.9527 0.9519  4 O 1.46-1.50
S 0.9762 0.0470 0.2902  4 O 1.47-1.51
S 0.9762 0.4530 0.7902  4 O 1.47-1.51
O 0.0411 0.1255 0.6730  1 S 1.47
O 0.0411 0.3745 0.1730  1 S 1.47
O 0.0732 0.7116 0.1863  1 S 1.47
O 0.0732 0.7884 0.6863  1 S 1.47
O 0.0941 0.0013 0.9586  1 S 1.46
O 0.0941 0.4987 0.4586  1 S 1.46
O 0.0959 0.5310 0.3051  1 S 1.51, 1 H 1.52
O 0.0959 0.9690 0.8051  1 S 1.51, 1 H 1.52
O 0.1225 0.0710 0.3192  1 S 1.50
O 0.1225 0.4290 0.8192  1 S 1.50
O 0.1499 0.5619 0.0274  2 H 1.00-1.01
O 0.1499 0.9381 0.5274  2 H 1.00-1.01
O 0.1513 0.2152 0.0771  1 S 1.49, 1 H 1.61
O 0.1513 0.2848 0.5771  1 S 1.49, 1 H 1.61
O 0.2044 0.6093 0.6059  1 S 1.50, 1 H 1.67
O 0.2044 0.8907 0.1059  1 S 1.50, 1 H 1.67
O 0.2842 0.6206 0.9675  2 H 0.99-1.00
O 0.2842 0.8794 0.4675  2 H 0.99-1.00
O 0.3158 0.2323 0.2669  1 S 1.48
O 0.3158 0.2677 0.7669  1 S 1.48
O 0.3266 0.0813 0.0586  1 S 1.49, 2 H 1.53-1.54
O 0.3266 0.4187 0.5586  1 S 1.49, 2 H 1.53-1.54
O 0.3302 0.5939 0.8009  1 H 1.46, 1 S 1.52
O 0.3302 0.9061 0.3009  1 H 1.46, 1 S 1.52
O 0.3363 0.0583 0.9251  3 H 1.03-1.04
O 0.3363 0.4417 0.4251  3 H 1.03-1.04
O 0.4462 0.1389 0.4163  1 S 1.49, 1 H 1.51
O 0.4462 0.3611 0.9163  1 S 1.49, 1 H 1.51
O 0.4483 0.6128 0.2979  3 H 1.02-1.04
O 0.4483 0.8872 0.7979  3 H 1.02-1.04
O 0.4637 0.5675 0.1698  1 S 1.47, 1 H 1.48
O 0.4637 0.9325 0.6698  1 S 1.47, 1 H 1.48
O 0.5363 0.0675 0.3302  1 S 1.47, 1 H 1.48
O 0.5363 0.4325 0.8302  1 S 1.47, 1 H 1.48
O 0.5517 0.1128 0.2021  3 H 1.02-1.04
O 0.5517 0.3872 0.7021  3 H 1.02-1.04
O 0.5538 0.6389 0.0837  1 S 1.49, 1 H 1.51
O 0.5538 0.8611 0.5837  1 S 1.49, 1 H 1.51
O 0.6637 0.5583 0.5749  3 H 1.03-1.04
O 0.6637 0.9417 0.0749  3 H 1.03-1.04
O 0.6698 0.0939 0.6991  1 H 1.46, 1 S 1.52
O 0.6698 0.4061 0.1991  1 H 1.46, 1 S 1.52
O 0.6734 0.5813 0.4414  1 S 1.49, 2 H 1.53-1.54
O 0.6734 0.9187 0.9414  1 S 1.49, 2 H 1.53-1.54
O 0.6842 0.7323 0.2331  1 S 1.48
O 0.6842 0.7677 0.7331  1 S 1.48
O 0.7158 0.1206 0.5325  2 H 0.99-1.00
O 0.7158 0.3794 0.0325  2 H 0.99-1.00
O 0.7956 0.1093 0.8941  1 S 1.50, 1 H 1.67
O 0.7956 0.3907 0.3941  1 S 1.50, 1 H 1.67
O 0.8487 0.7152 0.4229  1 S 1.49, 1 H 1.61
O 0.8487 0.7848 0.9229  1 S 1.49, 1 H 1.61
O 0.8501 0.0619 0.4726  2 H 1.00-1.01
O 0.8501 0.4381 0.9726  2 H 1.00-1.01
O 0.8775 0.5710 0.1808  1 S 1.50
O 0.8775 0.9290 0.6808  1 S 1.50
O 0.9041 0.0310 0.1949  1 S 1.51, 1 H 1.52
O 0.9041 0.4690 0.6949  1 S 1.51, 1 H 1.52
O 0.9059 0.5013 0.5414  1 S 1.46
O 0.9059 0.9987 0.0414  1 S 1.46
O 0.9268 0.2116 0.3137  1 S 1.47
O 0.9268 0.2884 0.8137  1 S 1.47
O 0.9589 0.6255 0.8270  1 S 1.47
O 0.9589 0.8745 0.3270  1 S 1.47



(5)
Here is a geometry-optimized NdHSO5 structure from Alexandria via LeMat-Bulk. Energies are from GGA-PBEsol.

Output
DFT total energy, eV/cell: -224.866

Lattice parameters (Å, degrees): 4.4686 12.3962 6.9839 90.00 111.41 90.00
With the nearest neighbours (Å) after each atom.
Fractional positions:
Nd 0.1648 0.0636 0.3029  8 O 2.37-2.58
Nd 0.1648 0.4364 0.8029  8 O 2.37-2.58
Nd 0.8352 0.5636 0.1971  8 O 2.37-2.58
Nd 0.8352 0.9364 0.6971  8 O 2.37-2.58
H 0.2111 0.6577 0.9752  1 O 0.99
H 0.2111 0.8423 0.4752  1 O 0.99
H 0.7889 0.1577 0.5248  1 O 0.99
H 0.7889 0.3423 0.0248  1 O 0.99
S 0.4062 0.1457 0.8861  4 O 1.46-1.51
S 0.4062 0.3543 0.3861  4 O 1.46-1.51
S 0.5938 0.6457 0.6139  4 O 1.46-1.51
S 0.5938 0.8543 0.1139  4 O 1.46-1.51
O 0.1992 0.0680 0.9502  1 S 1.51
O 0.1992 0.4320 0.4502  1 S 1.51
O 0.2268 0.2464 0.8166  1 S 1.47
O 0.2268 0.2536 0.3166  1 S 1.47
O 0.2358 0.5863 0.0418  1 H 0.99
O 0.2358 0.9137 0.5418  1 H 0.99
O 0.2960 0.6664 0.4390  1 S 1.46
O 0.2960 0.8336 0.9390  1 S 1.46
O 0.4706 0.0955 0.7120  1 S 1.48
O 0.4706 0.4045 0.2120  1 S 1.48
O 0.5294 0.5955 0.7880  1 S 1.48
O 0.5294 0.9045 0.2880  1 S 1.48
O 0.7040 0.1664 0.0610  1 S 1.46
O 0.7040 0.3336 0.5610  1 S 1.46
O 0.7642 0.0863 0.4582  1 H 0.99
O 0.7642 0.4137 0.9582  1 H 0.99
O 0.7732 0.7464 0.6834  1 S 1.47
O 0.7732 0.7536 0.1834  1 S 1.47
O 0.8008 0.5680 0.5498  1 S 1.51
O 0.8008 0.9320 0.0498  1 S 1.51



(6)
Here is a geometry-optimized NdH3S2O9 structure from Alexandria via LeMat-Bulk. Energies are from GGA-PBEsol.

Output
DFT total energy, eV/cell: -387.831

Lattice parameters (Å, degrees): 8.7718 6.9233 10.6423 90.00 90.16 90.00
With the nearest neighbours (Å) after each atom.
Fractional positions:
Nd 0.0577 0.1673 0.3458  8 O 2.39-2.56
Nd 0.0577 0.3327 0.8458  8 O 2.39-2.56
Nd 0.9423 0.6673 0.1542  8 O 2.39-2.56
Nd 0.9423 0.8327 0.6542  8 O 2.39-2.56
H 0.3545 0.5040 0.6592  1 O 1.02
H 0.3545 0.9960 0.1592  1 O 1.02
H 0.4109 0.7378 0.6267  1 O 1.00
H 0.4109 0.7622 0.1267  1 O 1.00
H 0.4623 0.0510 0.8640  1 O 1.02
H 0.4623 0.4490 0.3640  1 O 1.02
H 0.5377 0.5510 0.6360  1 O 1.02
H 0.5377 0.9490 0.1360  1 O 1.02
H 0.5891 0.2378 0.8733  1 O 1.00
H 0.5891 0.2622 0.3733  1 O 1.00
H 0.6455 0.0040 0.8408  1 O 1.02
H 0.6455 0.4960 0.3408  1 O 1.02
S 0.1855 0.6629 0.3887  4 O 1.45-1.52
S 0.1855 0.8371 0.8887  4 O 1.45-1.52
S 0.2728 0.1447 0.5787  4 O 1.44-1.52
S 0.2728 0.3553 0.0787  4 O 1.44-1.52
S 0.7272 0.6447 0.9213  4 O 1.44-1.52
S 0.7272 0.8553 0.4213  4 O 1.44-1.52
S 0.8145 0.1629 0.1113  4 O 1.45-1.52
S 0.8145 0.3371 0.6113  4 O 1.45-1.52
O 0.0971 0.5066 0.3197  1 S 1.52
O 0.0971 0.9934 0.8197  1 S 1.52
O 0.1121 0.0681 0.5605  1 S 1.52
O 0.1121 0.4319 0.0605  1 S 1.52
O 0.1258 0.6759 0.5173  1 S 1.47
O 0.1258 0.8241 0.0173  1 S 1.47
O 0.1469 0.6621 0.8104  1 S 1.51
O 0.1469 0.8379 0.3104  1 S 1.51
O 0.2608 0.1956 0.1746  1 S 1.51, 1 H 1.62
O 0.2608 0.3044 0.6746  1 S 1.51, 1 H 1.62
O 0.3071 0.2287 0.4535  1 S 1.49
O 0.3071 0.2713 0.9535  1 S 1.49
O 0.3479 0.6269 0.3889  1 S 1.45, 1 H 1.61
O 0.3479 0.8731 0.8889  1 S 1.45, 1 H 1.61
O 0.3753 0.5069 0.1181  1 S 1.44
O 0.3753 0.9931 0.6181  1 S 1.44
O 0.4365 0.6087 0.6638  3 H 1.00-1.02
O 0.4365 0.8913 0.1638  3 H 1.00-1.02
O 0.5635 0.1087 0.8362  3 H 1.00-1.02
O 0.5635 0.3913 0.3362  3 H 1.00-1.02
O 0.6247 0.0069 0.3819  1 S 1.44
O 0.6247 0.4931 0.8819  1 S 1.44
O 0.6521 0.1269 0.1111  1 S 1.45, 1 H 1.61
O 0.6521 0.3731 0.6111  1 S 1.45, 1 H 1.61
O 0.6929 0.7287 0.0465  1 S 1.49
O 0.6929 0.7713 0.5465  1 S 1.49
O 0.7392 0.6956 0.3254  1 S 1.51, 1 H 1.62
O 0.7392 0.8044 0.8254  1 S 1.51, 1 H 1.62
O 0.8531 0.1621 0.6896  1 S 1.51
O 0.8531 0.3379 0.1896  1 S 1.51
O 0.8742 0.1759 0.9827  1 S 1.47
O 0.8742 0.3241 0.4827  1 S 1.47
O 0.8879 0.5681 0.9395  1 S 1.52
O 0.8879 0.9319 0.4395  1 S 1.52
O 0.9029 0.0066 0.1803  1 S 1.52
O 0.9029 0.4934 0.6803  1 S 1.52